{"formula": "TlCoAuCl6", "functional": "PBE", "state": "optimized geometry", "m_tot_mub_per_fu": 1.01, "energy_ev_per_atom": -3.1466, "lattice_angstrom": [[3.4695, -5.3538, 0.0000], [3.4695, 5.3538, 0.0000], [-0.4563, 0.0000, 6.8213]], "species": ["Tl", "Co", "Au", "Cl", "Cl", "Cl", "Cl", "Cl", "Cl"], "fractional_positions": [[0.0000, 0.0000, 0.0000], [0.6632, 0.3368, 0.5000], [0.3245, 0.6755, 0.5000], [0.3842, 0.0541, 0.6559], [0.3910, 0.3785, 0.2953], [0.6215, 0.6090, 0.7047], [0.6778, 0.0713, 0.2857], [0.9287, 0.3222, 0.7143], [0.9459, 0.6158, 0.3441]]}